# 1
# PBE SmPu2NpSb4, optimized geometry
# Theoretical density = 9.21 g cm⁻³
# E = -67.743 eV for the cell shown
# Formation energy without anion corrections = -0.616 eV/atom
data_SmPu2NpSb4
_chemical_formula_sum 'Sm1 Pu2 Np1 Sb4'
_cell_length_a 7.663
_cell_length_b 4.425
_cell_length_c 7.674
_cell_angle_alpha 90.00
_cell_angle_beta 109.34
_cell_angle_gamma 90.00
_space_group_name_H-M_alt 'P 1 2/m 1'
_space_group_IT_number 10
_space_group_name_Hall '-P 2y'
loop_
_atom_site_label
_atom_site_type_symbol
_atom_site_fract_x
_atom_site_fract_y
_atom_site_fract_z
Sm1 Sm 0.000 0.000 0.000
Pu1 Pu 0.500 0.000 0.500
Pu2 Pu 0.500 0.500 0.000
Np1 Np 0.000 0.500 0.500
Sb1 Sb 0.249 0.000 0.748
Sb2 Sb 0.251 0.500 0.254

***

# 2
# PBE InBi3S6, optimized geometry
# Excess energy over the best structure of this formula in the dataset = 0.030 eV per atom
# Theoretical density = 5.14 g cm⁻³
# E = -84.966 eV for the cell shown
# Formation energy without anion corrections = -0.334 eV/atom
data_InBi3S6
_chemical_formula_sum 'In2 Bi6 S12'
_cell_length_a 12.249
_cell_length_b 4.078
_cell_length_c 12.259
_cell_angle_alpha 90.00
_cell_angle_beta 99.63
_cell_angle_gamma 90.00
_space_group_name_H-M_alt 'P 1 21/m 1'
_space_group_IT_number 11
_space_group_name_Hall '-P 2yb'
loop_
_atom_site_label
_atom_site_type_symbol
_atom_site_fract_x
_atom_site_fract_y
_atom_site_fract_z
In1 In 0.097 0.250 0.439
Bi1 Bi 0.082 0.750 0.865
Bi2 Bi 0.364 0.250 0.960
Bi3 Bi 0.420 0.750 0.375
S1 S 0.032 0.250 0.626
S2 S 0.126 0.250 0.005
S3 S 0.247 0.250 0.337
S4 S 0.275 0.750 0.810
S5 S 0.422 0.750 0.590
S6 S 0.444 0.750 0.116

***

# 3
# PBE Tb2Ho2Er2Tm, optimized geometry
# Theoretical density = 8.73 g cm⁻³
# E = -93.016 eV for the cell shown
# Formation energy = 144 meV per atom
data_Tb2Ho2Er2Tm
_chemical_formula_sum 'Tb6 Ho6 Er6 Tm3'
_cell_length_a 5.6030
_cell_length_b 5.6030
_cell_length_c 24.1651
_cell_angle_alpha 90.00
_cell_angle_beta 90.00
_cell_angle_gamma 120.00
_space_group_name_H-M_alt 'R -3 m'
_space_group_IT_number 166
_space_group_name_Hall '-R 3 2"'
loop_
_atom_site_label
_atom_site_type_symbol
_atom_site_fract_x
_atom_site_fract_y
_atom_site_fract_z
Tb1 Tb 0.0000 0.0000 0.1413
Ho1 Ho 0.0000 0.0000 0.4275
Er1 Er 0.0000 0.0000 0.2858
Tm1 Tm 0.0000 0.0000 0.0000